Version i
VASP calculation (PBE) on crystalline DyAsW at its relaxed geometry.

Unit cell a=4.7312 b=4.7312 c=4.7312 alpha=60.00 beta=60.00 gamma=60.00
Sites, in units of the cell vectors:
Dy1 0.0000 0.0000 0.0000
W1 0.7500 0.7500 0.7500
As1 0.2500 0.2500 0.2500

=====

Version ii
VASP calculation (PBE) on crystalline DyAsW at its relaxed geometry.

Unit cell a=4.4877 b=4.4877 c=4.4877 alpha=60.00 beta=60.00 gamma=60.00
Sites, in units of the cell vectors:
Dy1 0.2500 0.2500 0.2500
W1 0.7500 0.7500 0.7500
As1 0.0000 0.0000 0.0000

=====

Ranked by calculated energy, most stable first: version ii, version i.

=====

Version i
VASP calculation (PBE) on crystalline ErGaAsO at its relaxed geometry.

Unit cell a=4.4627 b=5.0299 c=6.2812 alpha=90.00 beta=90.00 gamma=90.00
Sites, in units of the cell vectors:
Ga1 0.0000 0.1337 0.9399
As1 0.0000 0.6219 0.7943
O1 0.5000 0.9054 0.4178
As2 0.0000 0.3781 0.2943
Er1 0.5000 0.7283 0.1019
O2 0.5000 0.0946 0.9178
Ga2 0.0000 0.8663 0.4399
Er2 0.5000 0.2717 0.6019

=====

Version ii
VASP calculation (PBE) on crystalline ErGaAsO at its relaxed geometry.

Unit cell a=4.0059 b=4.0059 c=9.1661 alpha=90.00 beta=90.00 gamma=90.00
Sites, in units of the cell vectors:
O1 0.7500 0.2500 0.0000
As1 0.7500 0.7500 0.3078
Ga1 0.2500 0.7500 0.5000
Er1 0.7500 0.7500 0.8883
As2 0.2500 0.2500 0.6922
O2 0.2500 0.7500 0.0000
Ga2 0.7500 0.2500 0.5000
Er2 0.2500 0.2500 0.1117

=====

Ranked by calculated energy, most stable first: version ii, version i.

=====

Version i
VASP calculation (PBE) on crystalline ErGaAsO at its relaxed geometry.

Unit cell a=4.3192 b=4.3192 c=9.3991 alpha=90.00 beta=90.00 gamma=90.00
Sites, in units of the cell vectors:
O1 0.5000 0.5000 0.0000
Ga1 0.5000 0.0000 0.9525
O2 0.0000 0.0000 0.0000
As1 0.0000 0.5000 0.3134
Er1 0.0000 0.0000 0.5000
Er2 0.5000 0.5000 0.5000
As2 0.5000 0.0000 0.6866
Ga2 0.0000 0.5000 0.0475

=====

Version ii
VASP calculation (PBE) on crystalline ErGaAsO at its relaxed geometry.

Unit cell a=4.0314 b=6.8012 c=5.8745 alpha=90.00 beta=90.00 gamma=90.00
Sites, in units of the cell vectors:
O1 0.5000 0.6738 0.8961
As1 0.0000 0.2193 0.9048
Ga1 0.5000 0.3975 0.0356
Ga2 0.5000 0.6025 0.5356
Er1 0.0000 0.8042 0.9175
O2 0.5000 0.3262 0.3961
Er2 0.0000 0.1958 0.4175
As2 0.0000 0.7807 0.4048

=====

Ranked by calculated energy, most stable first: version ii, version i.

=====

Version i
VASP calculation (PBE) on crystalline ErHfNi2As2 at its relaxed geometry.

Unit cell a=3.9806 b=3.9806 c=14.6814 alpha=90.00 beta=90.00 gamma=120.00
Sites, in units of the cell vectors:
As1 0.6667 0.3333 0.8788
Er1 0.0000 0.0000 0.0000
As2 0.6667 0.3333 0.6212
As3 0.3333 0.6667 0.1212
Ni1 0.6667 0.3333 0.3436
Hf1 0.0000 0.0000 0.2500
As4 0.3333 0.6667 0.3788
Ni2 0.3333 0.6667 0.8436
Er2 0.0000 0.0000 0.5000
Ni3 0.6667 0.3333 0.1564
Hf2 0.0000 0.0000 0.7500
Ni4 0.3333 0.6667 0.6564

=====

Version ii
VASP calculation (PBE) on crystalline ErHfNi2As2 at its relaxed geometry.

Unit cell a=3.9515 b=3.9515 c=14.9674 alpha=90.00 beta=90.00 gamma=120.00
Sites, in units of the cell vectors:
Ni1 0.6667 0.3333 0.3876
As1 0.3333 0.6667 0.1213
Hf1 0.0000 0.0000 0.5000
As2 0.3333 0.6667 0.3787
Er1 0.0000 0.0000 0.7500
Hf2 0.0000 0.0000 0.0000
As3 0.6667 0.3333 0.8787
As4 0.6667 0.3333 0.6213
Er2 0.0000 0.0000 0.2500
Ni2 0.3333 0.6667 0.8876
Ni3 0.3333 0.6667 0.6124
Ni4 0.6667 0.3333 0.1124

=====

Ranked by calculated energy, most stable first: version i, version ii.

=====

Version i
VASP calculation (PBE) on crystalline ErHgAs at its relaxed geometry.

Unit cell a=4.8617 b=4.8617 c=4.8617 alpha=60.00 beta=60.00 gamma=60.00
Sites, in units of the cell vectors:
Hg1 0.7500 0.7500 0.7500
Er1 0.0000 0.0000 0.0000
As1 0.2500 0.2500 0.2500

=====

Version ii
VASP calculation (PBE) on crystalline ErHgAs at its relaxed geometry.

Unit cell a=4.8085 b=4.8085 c=4.8085 alpha=60.00 beta=60.00 gamma=60.00
Sites, in units of the cell vectors:
Hg1 0.7500 0.7500 0.7500
As1 0.0000 0.0000 0.0000
Er1 0.2500 0.2500 0.2500

=====

Ranked by calculated energy, most stable first: version i, version ii.

=====

Version i
VASP calculation (PBE) on crystalline ErHgAsO at its relaxed geometry.

Unit cell a=4.0835 b=4.0835 c=9.1625 alpha=90.00 beta=90.00 gamma=90.00
Sites, in units of the cell vectors:
Hg1 0.0000 0.0000 0.5000
As1 0.5000 0.0000 0.7134
Er1 0.0000 0.5000 0.8910
Hg2 0.5000 0.5000 0.5000
O1 0.5000 0.5000 0.0000
Er2 0.5000 0.0000 0.1090
As2 0.0000 0.5000 0.2866
O2 0.0000 0.0000 0.0000

=====

Version ii
VASP calculation (PBE) on crystalline ErHgAsO at its relaxed geometry.

Unit cell a=5.7820 b=5.7820 c=4.8245 alpha=90.00 beta=90.00 gamma=90.00
Sites, in units of the cell vectors:
Er1 0.5000 0.5000 0.5000
Er2 0.0000 0.0000 0.5000
O1 0.0000 0.0000 0.0000
O2 0.5000 0.5000 0.0000
As1 0.0000 0.5000 0.5080
Hg1 0.0000 0.5000 0.0078
Hg2 0.5000 0.0000 0.9922
As2 0.5000 0.0000 0.4920

=====

Version iii
VASP calculation (PBE) on crystalline ErHgAsO at its relaxed geometry.

Unit cell a=4.4099 b=5.9135 c=6.5133 alpha=90.00 beta=90.00 gamma=90.00
Sites, in units of the cell vectors:
As1 0.0000 0.7443 0.8619
O1 0.5000 0.2394 0.9143
Hg1 0.5000 0.2367 0.5558
O2 0.5000 0.7606 0.4143
Er1 0.0000 0.2472 0.9221
Er2 0.0000 0.7528 0.4221
As2 0.0000 0.2557 0.3619
Hg2 0.5000 0.7633 0.0558

=====

Ranked by calculated energy, most stable first: version i, version iii, version ii.

=====

Version i
VASP calculation (PBE) on crystalline HoErAsO at its relaxed geometry.

Unit cell a=4.3052 b=4.3052 c=8.7091 alpha=90.00 beta=90.00 gamma=90.00
Sites, in units of the cell vectors:
Er1 0.7500 0.2500 0.5000
As1 0.2500 0.2500 0.7051
Er2 0.2500 0.7500 0.5000
O1 0.7500 0.2500 0.0000
Ho1 0.7500 0.7500 0.8995
O2 0.2500 0.7500 0.0000
Ho2 0.2500 0.2500 0.1005
As2 0.7500 0.7500 0.2949

=====

Version ii
VASP calculation (PBE) on crystalline HoErAsO at its relaxed geometry.

Unit cell a=4.3091 b=4.3091 c=8.6909 alpha=90.00 beta=90.00 gamma=90.00
Sites, in units of the cell vectors:
Ho1 0.5000 0.5000 0.5000
Ho2 0.0000 0.0000 0.5000
O1 0.0000 0.0000 0.0000
Er1 0.5000 0.0000 0.0981
Er2 0.0000 0.5000 0.9019
O2 0.5000 0.5000 0.0000
As1 0.0000 0.5000 0.2928
As2 0.5000 0.0000 0.7072

=====

Version iii
VASP calculation (PBE) on crystalline HoErAsO at its relaxed geometry.

Unit cell a=4.1395 b=7.5602 c=5.8463 alpha=90.00 beta=90.00 gamma=90.00
Sites, in units of the cell vectors:
Er1 0.5000 0.1146 0.5079
O1 0.5000 0.8314 0.3786
Ho1 0.0000 0.7148 0.4385
Er2 0.5000 0.8854 0.0079
As1 0.0000 0.3421 0.4289
O2 0.5000 0.1686 0.8786
Ho2 0.0000 0.2852 0.9385
As2 0.0000 0.6579 0.9289

=====

Ranked by calculated energy, most stable first: version iii, version i, version ii.

=====

Version i
VASP calculation (PBE) on crystalline ErAsIrO at its relaxed geometry.

Unit cell a=4.5266 b=4.3211 c=6.7070 alpha=90.00 beta=90.00 gamma=90.00
Sites, in units of the cell vectors:
As1 0.0000 0.1846 0.7817
Ir1 0.0000 0.3186 0.4346
As2 0.0000 0.8154 0.2817
Er1 0.5000 0.7688 0.5998
Ir2 0.0000 0.6814 0.9346
O1 0.5000 0.2930 0.4380
O2 0.5000 0.7070 0.9380
Er2 0.5000 0.2312 0.0998

=====

Version ii
VASP calculation (PBE) on crystalline ErAsIrO at its relaxed geometry.

Unit cell a=5.7552 b=5.7552 c=4.4558 alpha=90.07 beta=90.07 gamma=96.54
Sites, in units of the cell vectors:
As1 0.7991 0.7991 0.0001
Ir1 0.6855 0.6855 0.5008
O1 0.7889 0.1193 0.0006
Er1 0.2063 0.7917 0.5005
Er2 0.7917 0.2063 0.5005
O2 0.1193 0.7889 0.0006
Ir2 0.3117 0.3117 0.4983
As2 0.2977 0.2977 0.9985

=====

Ranked by calculated energy, most stable first: version ii, version i.

=====

Version i
VASP calculation (PBE) on crystalline ErAsIrO at its relaxed geometry.

Unit cell a=3.3768 b=7.8238 c=5.3167 alpha=90.00 beta=90.00 gamma=90.00
Sites, in units of the cell vectors:
As1 0.0000 0.9262 0.4659
As2 0.0000 0.0738 0.9659
Ir1 0.5000 0.2900 0.9504
Er1 0.0000 0.6998 0.9694
O1 0.5000 0.5509 0.8683
Er2 0.0000 0.3002 0.4694
Ir2 0.5000 0.7100 0.4503
O2 0.5000 0.4491 0.3683

=====

Version ii
VASP calculation (PBE) on crystalline ErAsIrO at its relaxed geometry.

Unit cell a=4.0164 b=4.0164 c=8.0016 alpha=90.00 beta=90.00 gamma=90.00
Sites, in units of the cell vectors:
Er1 0.0000 0.5000 0.8712
Ir1 0.0000 0.0000 0.5000
O1 0.0000 0.0000 0.0000
As1 0.0000 0.5000 0.3200
Ir2 0.5000 0.5000 0.5000
Er2 0.5000 0.0000 0.1288
As2 0.5000 0.0000 0.6800
O2 0.5000 0.5000 0.0000

=====

Ranked by calculated energy, most stable first: version ii, version i.

=====

Version i
VASP calculation (PBE) on crystalline ErLuAsO at its relaxed geometry.

Unit cell a=4.0685 b=7.5535 c=5.7279 alpha=90.00 beta=90.00 gamma=90.00
Sites, in units of the cell vectors:
As1 0.0000 0.8486 0.4275
O1 0.5000 0.6732 0.8827
As2 0.0000 0.1514 0.9275
Er1 0.5000 0.6159 0.5038
Lu1 0.0000 0.7829 0.9401
Lu2 0.0000 0.2171 0.4401
Er2 0.5000 0.3841 0.0038
O2 0.5000 0.3268 0.3827

=====

Version ii
VASP calculation (PBE) on crystalline ErLuAsO at its relaxed geometry.

Unit cell a=4.2818 b=4.2818 c=8.5544 alpha=90.00 beta=90.00 gamma=90.00
Sites, in units of the cell vectors:
As1 0.7500 0.7500 0.2964
Lu1 0.7500 0.2500 0.5000
Lu2 0.2500 0.7500 0.5000
Er1 0.7500 0.7500 0.8984
O1 0.2500 0.7500 0.0000
O2 0.7500 0.2500 0.0000
Er2 0.2500 0.2500 0.1016
As2 0.2500 0.2500 0.7036

=====

Version iii
VASP calculation (PBE) on crystalline ErLuAsO at its relaxed geometry.

Unit cell a=4.1139 b=7.3967 c=5.8578 alpha=90.00 beta=90.00 gamma=90.00
Sites, in units of the cell vectors:
As1 0.0000 0.1635 0.9254
Lu1 0.5000 0.3895 0.0147
As2 0.0000 0.8365 0.4254
Er1 0.0000 0.2135 0.4371
Er2 0.0000 0.7865 0.9371
O1 0.5000 0.3333 0.3769
Lu2 0.5000 0.6105 0.5147
O2 0.5000 0.6667 0.8769

=====

Version iv
VASP calculation (PBE) on crystalline ErLuAsO at its relaxed geometry.

Unit cell a=4.2770 b=4.2770 c=8.5638 alpha=90.00 beta=90.00 gamma=90.00
Sites, in units of the cell vectors:
Lu1 0.2500 0.2500 0.0939
O1 0.2500 0.7500 0.0000
O2 0.7500 0.2500 0.0000
Er1 0.2500 0.7500 0.5000
As1 0.2500 0.2500 0.7093
Er2 0.7500 0.2500 0.5000
As2 0.7500 0.7500 0.2907
Lu2 0.7500 0.7500 0.9061

=====

Ranked by calculated energy, most stable first: version iii, version i, version ii, version iv.